Record 1
Ti2GePd after structural relaxation, computed with PBE.

The structure in POSCAR format:
```
Ti2GePd
1.0
-1.533 -0.611 -2.341
1.332 -2.527 -0.212
-5.365 -3.193 4.347
Pd Ti Ge
1 2 1
Cartesian
-2.783 -3.166 0.897 Pd
-1.324 -0.788 1.073 Ti
-4.041 -2.405 3.274 Ti
-0.100 -1.569 -1.276 Ge
```

Computed properties:
Its total energy is -6.895 eV per atom. The value obtained for the energy relative to the elements is -11.41 kcal/mol of atoms.

***

Record 2
Tm3CdS6 after structural relaxation, computed with PBE.

The structure in POSCAR format:
```
Tm3CdS6
1.0
6.691 0.000 0.000
0.000 8.286 0.174
0.000 -1.680 8.115
Tm S Cd
6 12 2
Cartesian
2.624 2.329 4.921 Tm
5.969 4.277 3.368 Tm
6.563 0.209 2.290 Tm
3.218 6.397 5.999 Tm
6.563 4.420 7.574 Tm
3.218 2.186 0.715 Tm
1.461 -0.125 4.445 S
4.578 4.042 5.774 S
1.307 -1.389 7.884 S
1.461 2.246 7.419 S
0.881 6.031 1.971 S
1.232 2.564 2.515 S
4.807 4.360 0.870 S
4.578 1.880 3.061 S
1.232 4.726 5.228 S
4.653 7.995 0.405 S
4.807 6.731 3.845 S
4.227 0.575 6.318 S
6.688 0.357 6.492 Cd
3.343 6.249 1.797 Cd
```

Computed properties:
Its total energy is -5.463 eV per atom. The calculation puts the uncorrected formation energy at -1.554 eV per atom.

***

Record 3
LiPmYBe after structural relaxation, computed with PBE.

The structure in POSCAR format:
```
LiPmYBe
1.0
-3.172 3.835 -0.919
-4.519 0.147 2.274
-0.914 3.445 3.593
Pm Y Be Li
1 1 1 1
Cartesian
-4.302 3.714 2.474 Pm
0.000 0.000 0.000 Y
-2.151 1.857 1.237 Be
-6.454 5.570 3.711 Li
```

Computed properties:
Its total energy is -4.073 eV per atom. The value obtained for the energy relative to the elements is 3.24 kcal/mol of atoms.

***

Record 4
Ga2SnSbO8 after structural relaxation, computed with PBE.

The structure in POSCAR format:
```
Ga2SnSbO8
1.0
-2.156 2.869 3.029
0.634 -3.217 3.364
5.500 2.601 1.451
O Ga Sb Sn
8 2 1 1
Cartesian
2.570 3.637 4.196 O
1.703 1.062 5.122 O
-0.465 -0.107 1.955 O
2.275 1.192 2.722 O
4.254 -0.038 4.399 O
1.408 -1.384 3.648 O
-0.276 2.291 3.445 O
4.443 2.360 5.889 O
3.365 1.777 4.285 Ga
0.613 0.476 3.559 Ga
0.000 0.000 0.000 Sb
2.750 1.300 0.726 Sn
```

Computed properties:
Its total energy is -5.976 eV per atom. The calculation puts the uncorrected formation energy at -1.489 eV per atom.

***

Record 5
LiCaAlH6 after structural relaxation, computed with PBE.

The structure in POSCAR format:
```
LiCaAlH6
1.0
4.782 0.000 0.000
-2.391 4.141 0.000
0.000 0.000 9.298
Li Al Ca H
2 2 2 12
Cartesian
2.391 1.380 6.974 Li
0.000 2.761 2.325 Li
2.391 1.380 2.325 Al
0.000 2.761 6.974 Al
0.000 0.000 4.649 Ca
0.000 0.000 0.000 Ca
0.614 4.045 7.975 H
0.972 1.491 3.326 H
1.419 2.651 5.972 H
-1.419 2.651 7.975 H
-0.805 1.587 5.972 H
1.586 2.554 1.323 H
0.805 1.587 7.975 H
3.196 2.554 3.326 H
3.810 1.491 1.323 H
3.005 0.097 3.326 H
-0.614 4.045 5.972 H
1.777 0.097 1.323 H
```

Computed properties:
Its total energy is -3.410 eV per atom.

***

Record 6
Zr2Zn2Pt after structural relaxation, computed with PBE.

The structure in POSCAR format:
```
Zr2Zn2Pt
1.0
6.770 0.000 0.000
0.000 6.770 0.000
0.000 0.000 3.890
Zn Pt Zr
4 2 4
Cartesian
5.897 4.257 0.000 Zn
0.872 2.512 0.000 Zn
4.257 0.872 0.000 Zn
2.512 5.897 0.000 Zn
0.000 0.000 0.000 Pt
3.385 3.385 0.000 Pt
2.214 1.170 1.945 Zr
1.170 4.555 1.945 Zr
4.555 5.599 1.945 Zr
5.599 2.214 1.945 Zr
```

Computed properties:
Its total energy is -5.656 eV per atom. The value obtained for the energy relative to the elements is -11.97 kcal/mol of atoms. The calculation puts the distance to the lowest polymorph of the same formula at 0.0 meV per atom.

***

Record 7
Nd3Sm4In after structural relaxation, computed with PBE.

The structure in POSCAR format:
```
Nd3Sm4In
1.0
-4.537 -3.270 -2.895
3.650 -6.122 1.196
-5.454 -1.295 10.009
Nd Sm In
6 8 2
Cartesian
-1.617 -6.906 8.190 Nd
-6.764 -4.669 2.285 Nd
1.196 -6.238 3.028 Nd
0.954 -6.953 -0.380 Nd
-3.962 -3.191 0.819 Nd
-6.603 -3.818 5.666 Nd
-4.602 -6.895 6.244 Sm
-2.065 -6.963 -2.027 Sm
-3.439 -4.440 4.126 Sm
-0.897 -3.875 -0.991 Sm
-3.460 -3.715 7.713 Sm
-4.936 -7.765 2.880 Sm
-0.553 -3.025 2.377 Sm
-2.055 -6.290 1.571 Sm
-1.706 -7.576 4.664 In
-3.989 -3.964 -2.687 In
```

Computed properties:
Its total energy is -4.592 eV per atom. The value obtained for the energy relative to the elements is -2.36 kcal/mol of atoms. The calculation puts the distance to the lowest polymorph of the same formula at 0.0 meV per atom.

***

Record 8
Pr2Ni4Sn3Ir after structural relaxation, computed with PBE.

The structure in POSCAR format:
```
Pr2Ni4Sn3Ir
1.0
4.298 0.000 0.000
0.000 4.298 0.000
0.000 0.000 10.537
Ni Pr Sn Ir
4 2 3 1
Cartesian
2.149 2.149 0.000 Ni
0.000 2.149 3.883 Ni
0.000 0.000 0.000 Ni
2.149 0.000 6.654 Ni
0.000 2.149 7.832 Pr
2.149 0.000 2.705 Pr
2.149 0.000 9.195 Sn
0.000 2.149 1.342 Sn
0.000 0.000 5.269 Sn
2.149 2.149 5.269 Ir
```

Computed properties:
Its total energy is -5.787 eV per atom. The value obtained for the energy relative to the elements is -9.95 kcal/mol of atoms.

***

Record 9
Rb2InCu3F12 after structural relaxation, computed with PBE.

The structure in POSCAR format:
```
Rb2InCu3F12
1.0
-1.427 -0.132 7.342
-6.227 -3.172 2.667
0.278 -6.393 3.874
F Cu Rb In
12 3 2 1
Cartesian
-5.935 -8.799 8.507 F
-4.216 -6.602 5.104 F
-6.078 -4.943 5.938 F
-0.467 -4.478 3.393 F
-6.909 -5.219 10.490 F
-3.190 -7.061 11.180 F
-3.160 -3.095 8.779 F
-4.186 -2.637 2.703 F
-2.125 -6.901 6.671 F
-5.252 -2.796 7.212 F
-1.298 -4.754 7.945 F
-1.442 -0.898 5.376 F
-3.114 -1.586 1.334 Cu
-0.713 -0.066 3.671 Cu
0.139 -3.197 1.937 Cu
-4.523 -5.947 8.514 Rb
-2.853 -3.751 5.369 Rb
0.000 0.000 0.000 In
```

Computed properties:
Its total energy is -4.244 eV per atom. The calculation puts the uncorrected formation energy at -2.054 eV per atom.

***

Record 10
NaSb2Ir2 after structural relaxation, computed with PBE.

The structure in POSCAR format:
```
NaSb2Ir2
1.0
7.951 0.000 0.000
0.000 7.951 0.000
0.000 0.000 3.125
Na Sb Ir
2 4 4
Cartesian
3.975 3.975 0.000 Na
0.000 0.000 0.000 Na
5.252 6.674 1.562 Sb
1.277 5.252 1.562 Sb
6.674 2.698 1.562 Sb
2.698 1.277 1.562 Sb
1.038 2.937 0.000 Ir
2.937 6.912 0.000 Ir
6.912 5.014 0.000 Ir
5.014 1.038 0.000 Ir
```

Computed properties:
Its total energy is -5.462 eV per atom. The calculation puts the distance to the lowest polymorph of the same formula at 191.7 meV per atom. The calculation puts the uncorrected formation energy at -0.005 eV per atom.

***

Record 11
KY2Ag after structural relaxation, computed with PBE.

The structure in POSCAR format:
```
KY2Ag
1.0
-2.967 -4.908 -4.002
0.601 -4.965 -4.888
0.435 -5.296 2.093
K Y Ag
1 2 1
Cartesian
-0.363 -3.593 -1.229 K
-1.588 -11.602 -5.643 Y
0.414 -5.331 2.010 Y
-0.925 -7.524 -3.239 Ag
```

Computed properties:
Its total energy is -3.917 eV per atom. The value obtained for the energy relative to the elements is 6.98 kcal/mol of atoms.